Record 1
Material: K2InOs
Method: DFT, PBE
State: optimized geometry

Geometry as CIF:
```
data_K2InOs
_chemical_formula_sum 'K2 In1 Os1'
_cell_length_a 3.175
_cell_length_b 4.338
_cell_length_c 10.040
_cell_angle_alpha 90.00
_cell_angle_beta 91.87
_cell_angle_gamma 90.00
_symmetry_space_group_name_H-M 'P 1 m 1'
_symmetry_Int_Tables_number 6
_symmetry_space_group_name_Hall 'P -2y'
loop_
_atom_site_label
_atom_site_fract_x
_atom_site_fract_y
_atom_site_fract_z
K1 0.000 0.000 0.000
K2 0.432 0.500 0.416
In1 0.466 0.000 0.695
Os1 0.968 0.500 0.720
```

Results
Crystal system ... monoclinic
DOS(E_F) ... 0.600 states/eV per atom
Calculated formation energy ... 57.2 kJ/mol of atoms

Record 2
Material: Tm6MgRu5
Method: DFT, PBE
State: optimized geometry

Geometry as CIF:
```
data_Tm6MgRu5
_chemical_formula_sum 'Tm12 Mg2 Ru10'
_cell_length_a 4.817
_cell_length_b 6.862
_cell_length_c 14.313
_cell_angle_alpha 90.00
_cell_angle_beta 90.00
_cell_angle_gamma 90.00
_symmetry_space_group_name_H-M 'I m m m'
_symmetry_Int_Tables_number 71
_symmetry_space_group_name_Hall '-I 2 2'
loop_
_atom_site_label
_atom_site_fract_x
_atom_site_fract_y
_atom_site_fract_z
Tm1 0.000 0.232 0.000
Tm2 0.000 0.260 0.326
Mg1 0.000 0.000 0.500
Ru1 0.000 0.000 0.167
Ru2 0.000 0.500 0.160
Ru3 0.000 0.500 0.500
```

Results
Crystal system ... orthorhombic
DOS(E_F) ... 0.580 states/eV per atom
Calculated formation energy ... -38.6 kJ/mol of atoms

Record 3
Material: AcPr2In3Te6
Method: DFT, PBE
State: optimized geometry

Geometry as CIF:
```
data_AcPr2In3Te6
_chemical_formula_sum 'Ac2 Pr4 In6 Te12'
_cell_length_a 8.028
_cell_length_b 13.889
_cell_length_c 8.540
_cell_angle_alpha 90.00
_cell_angle_beta 108.23
_cell_angle_gamma 90.00
_symmetry_space_group_name_H-M 'C 1 2/m 1'
_symmetry_Int_Tables_number 12
_symmetry_space_group_name_Hall '-C 2y'
loop_
_atom_site_label
_atom_site_fract_x
_atom_site_fract_y
_atom_site_fract_z
Ac1 0.000 0.000 0.000
Pr1 0.000 0.333 0.000
In1 0.000 0.165 0.500
In2 0.000 0.500 0.500
Te1 0.233 0.500 0.228
Te2 0.249 0.172 0.231
```

Results
Crystal system ... monoclinic
Energy relative to the elements, uncorrected ... -97.57 kJ per mole of atoms

Record 4
Material: TeMoPb2
Method: DFT, PBE
State: optimized geometry

Geometry as CIF:
```
data_TeMoPb2
_chemical_formula_sum 'Te1 Mo1 Pb2'
_cell_length_a 3.670
_cell_length_b 5.153
_cell_length_c 5.564
_cell_angle_alpha 90.00
_cell_angle_beta 90.00
_cell_angle_gamma 90.00
_symmetry_space_group_name_H-M 'P m m m'
_symmetry_Int_Tables_number 47
_symmetry_space_group_name_Hall '-P 2 2'
loop_
_atom_site_label
_atom_site_fract_x
_atom_site_fract_y
_atom_site_fract_z
Te1 0.000 0.000 0.000
Mo1 0.500 0.500 0.000
Pb1 0.000 0.500 0.500
Pb2 0.500 0.000 0.500
```

Results
Crystal system ... orthorhombic
Energy relative to the elements, uncorrected ... 64.09 kJ per mole of atoms
DOS(E_F) ... 0.688 states/eV per atom

Record 5
Material: LaCdCu10
Method: DFT, PBE
State: optimized geometry

Geometry as CIF:
```
data_LaCdCu10
_chemical_formula_sum 'La1 Cd1 Cu10'
_cell_length_a 4.109
_cell_length_b 5.040
_cell_length_c 8.748
_cell_angle_alpha 90.00
_cell_angle_beta 90.00
_cell_angle_gamma 90.00
_symmetry_space_group_name_H-M 'P m m m'
_symmetry_Int_Tables_number 47
_symmetry_space_group_name_Hall '-P 2 2'
loop_
_atom_site_label
_atom_site_fract_x
_atom_site_fract_y
_atom_site_fract_z
La1 0.000 0.000 0.000
Cd1 0.000 0.500 0.500
Cu1 0.000 0.000 0.346
Cu2 0.000 0.500 0.186
Cu3 0.500 0.000 0.500
Cu4 0.500 0.250 0.253
Cu5 0.500 0.500 0.000
```

Results
Crystal system ... orthorhombic
DOS(E_F) ... 0.336 states/eV per atom
Calculated formation energy ... -5.2 kJ/mol of atoms

Record 6
Material: Pm2Nd2Mg
Method: DFT, PBE
State: optimized geometry

Geometry as CIF:
```
data_Pm2Nd2Mg
_chemical_formula_sum 'Pm4 Nd4 Mg2'
_cell_length_a 3.698
_cell_length_b 3.698
_cell_length_c 23.971
_cell_angle_alpha 90.00
_cell_angle_beta 90.00
_cell_angle_gamma 90.00
_symmetry_space_group_name_H-M 'I 4/m m m'
_symmetry_Int_Tables_number 139
_symmetry_space_group_name_Hall '-I 4 2'
loop_
_atom_site_label
_atom_site_fract_x
_atom_site_fract_y
_atom_site_fract_z
Pm1 0.000 0.000 0.196
Nd1 0.000 0.000 0.409
Mg1 0.000 0.000 0.000
```

Results
Crystal system ... tetragonal
DOS(E_F) ... 1.224 states/eV per atom
Calculated formation energy ... -2.8 kJ/mol of atoms
Excess energy over the best structure of this formula in the dataset ... 0.0 meV per atom

Record 7
Material: CaCrGe2Pb
Method: DFT, PBE
State: optimized geometry

Geometry as CIF:
```
data_CaCrGe2Pb
_chemical_formula_sum 'Ca1 Cr1 Ge2 Pb1'
_cell_length_a 5.497
_cell_length_b 5.497
_cell_length_c 5.148
_cell_angle_alpha 90.00
_cell_angle_beta 90.00
_cell_angle_gamma 90.00
_symmetry_space_group_name_H-M 'P 4/m m m'
_symmetry_Int_Tables_number 123
_symmetry_space_group_name_Hall '-P 4 2'
loop_
_atom_site_label
_atom_site_fract_x
_atom_site_fract_y
_atom_site_fract_z
Ca1 0.000 0.000 0.000
Cr1 0.500 0.500 0.000
Ge1 0.000 0.500 0.500
Pb1 0.500 0.500 0.500
```

Results
Crystal system ... tetragonal
DOS(E_F) ... 0.662 states/eV per atom
Calculated formation energy ... 73.6 kJ/mol of atoms

Record 8
Material: Er4Tm3Tl4
Method: DFT, PBE
State: optimized geometry

Geometry as CIF:
```
data_Er4Tm3Tl4
_chemical_formula_sum 'Er8 Tm6 Tl8'
_cell_length_a 3.626
_cell_length_b 9.419
_cell_length_c 18.505
_cell_angle_alpha 90.00
_cell_angle_beta 90.00
_cell_angle_gamma 90.00
_symmetry_space_group_name_H-M 'I m m m'
_symmetry_Int_Tables_number 71
_symmetry_space_group_name_Hall '-I 2 2'
loop_
_atom_site_label
_atom_site_fract_x
_atom_site_fract_y
_atom_site_fract_z
Er1 0.000 0.189 0.162
Tm1 0.000 0.000 0.403
Tm2 0.000 0.500 0.500
Tl1 0.000 0.280 0.000
Tl2 0.000 0.500 0.232
```

Results
Crystal system ... orthorhombic
DOS(E_F) ... 1.054 states/eV per atom
Calculated formation energy ... -19.2 kJ/mol of atoms

Record 9
Material: La3Mg2Al7
Method: DFT, PBE
State: optimized geometry

Geometry as CIF:
```
data_La3Mg2Al7
_chemical_formula_sum 'La9 Mg6 Al21'
_cell_length_a 5.7838
_cell_length_b 5.7838
_cell_length_c 27.5236
_cell_angle_alpha 90.00
_cell_angle_beta 90.00
_cell_angle_gamma 120.00
_symmetry_space_group_name_H-M 'R -3 m'
_symmetry_Int_Tables_number 166
_symmetry_space_group_name_Hall '-R 3 2"'
loop_
_atom_site_label
_atom_site_fract_x
_atom_site_fract_y
_atom_site_fract_z
La1 0.0000 0.0000 0.0000
La2 0.0000 0.0000 0.1410
Mg1 0.0000 0.0000 0.3349
Al1 0.0000 0.0000 0.5000
Al2 0.0050 0.5025 0.9150
```

Results
Crystal system ... trigonal
DOS(E_F) ... 0.332 states/eV per atom
Calculated formation energy ... -37.2 kJ/mol of atoms

Record 10
Material: In3Pd2Au4
Method: DFT, PBE
State: optimized geometry

Geometry as CIF:
```
data_In3Pd2Au4
_chemical_formula_sum 'In12 Pd8 Au16'
_cell_length_a 14.487
_cell_length_b 9.864
_cell_length_c 4.784
_cell_angle_alpha 90.00
_cell_angle_beta 98.89
_cell_angle_gamma 90.00
_symmetry_space_group_name_H-M 'C 1 2/c 1'
_symmetry_Int_Tables_number 15
_symmetry_space_group_name_Hall '-C 2yc'
loop_
_atom_site_label
_atom_site_fract_x
_atom_site_fract_y
_atom_site_fract_z
In1 0.000 0.123 0.250
In2 0.167 0.358 0.079
Pd1 0.105 0.118 0.798
Au1 0.058 0.379 0.532
Au2 0.225 0.111 0.373
```

Results
Crystal system ... monoclinic
DOS(E_F) ... 0.262 states/eV per atom
Calculated formation energy ... -24.2 kJ/mol of atoms

Record 11
Material: AlV2Pd
Method: DFT, PBE
State: optimized geometry

Geometry as CIF:
```
data_AlV2Pd
_chemical_formula_sum 'Al4 V8 Pd4'
_cell_length_a 7.119
_cell_length_b 7.119
_cell_length_c 4.914
_cell_angle_alpha 90.00
_cell_angle_beta 90.00
_cell_angle_gamma 90.00
_symmetry_space_group_name_H-M 'I -4 2 d'
_symmetry_Int_Tables_number 122
_symmetry_space_group_name_Hall 'I -4 2bw'
loop_
_atom_site_label
_atom_site_fract_x
_atom_site_fract_y
_atom_site_fract_z
Al1 0.000 0.000 0.000
V1 0.239 0.250 0.625
Pd1 0.000 0.000 0.500
```

Results
Crystal system ... tetragonal
DOS(E_F) ... 1.216 states/eV per atom
Calculated formation energy ... 24.1 kJ/mol of atoms

Record 12
Material: KSc2Cu
Method: DFT, PBE
State: optimized geometry

Geometry as CIF:
```
data_KSc2Cu
_chemical_formula_sum 'K4 Sc8 Cu4'
_cell_length_a 7.967
_cell_length_b 7.967
_cell_length_c 10.845
_cell_angle_alpha 90.00
_cell_angle_beta 90.00
_cell_angle_gamma 90.00
_symmetry_space_group_name_H-M 'I 41/a m d'
_symmetry_Int_Tables_number 141
loop_
_symmetry_equiv_pos_as_xyz
'x,y,z'
'-x,-y,-z'
'-y+1/4,x+3/4,z+1/4'
'y+1/4,-x+3/4,-z+1/4'
'-x+1/2,-y,z+1/2'
'x+1/2,y,-z+1/2'
'y+1/4,-x+1/4,z+3/4'
'-y+1/4,x+1/4,-z+3/4'
'x,-y,-z'
'-x,y,z'
'-y+1/4,-x+1/4,-z+3/4'
'y+1/4,x+1/4,z+3/4'
'-x+1/2,y,-z+1/2'
'x+1/2,-y,z+1/2'
'y+1/4,x+3/4,-z+1/4'
'-y+1/4,-x+3/4,z+1/4'
'x+1/2,y+1/2,z+1/2'
'-x+1/2,-y+1/2,-z+1/2'
'-y+3/4,x+1/4,z+3/4'
'y+3/4,-x+1/4,-z+3/4'
'-x,-y+1/2,z'
'x,y+1/2,-z'
'y+3/4,-x+3/4,z+1/4'
'-y+3/4,x+3/4,-z+1/4'
'x+1/2,-y+1/2,-z+1/2'
'-x+1/2,y+1/2,z+1/2'
'-y+3/4,-x+3/4,-z+1/4'
'y+3/4,x+3/4,z+1/4'
'-x,y+1/2,-z'
'x,-y+1/2,z'
'y+3/4,x+1/4,-z+3/4'
'-y+3/4,-x+1/4,z+3/4'
loop_
_atom_site_label
_atom_site_fract_x
_atom_site_fract_y
_atom_site_fract_z
K1 0.000 0.250 0.375
Sc1 0.000 0.000 0.000
Cu1 0.000 0.250 0.875
```

Results
Crystal system ... tetragonal
DOS(E_F) ... 2.759 states/eV per atom
Calculated formation energy ... 74.0 kJ/mol of atoms
Excess energy over the best structure of this formula in the dataset ... 579.2 meV per atom

Number 1: total energy -13.79 eV per formula unit. Number 2: total energy -79.60 eV per formula unit. Number 3: total energy -52.87 eV per formula unit. Number 4: total energy -18.73 eV per formula unit. Number 5: total energy -47.45 eV per formula unit. Number 6: total energy -20.77 eV per formula unit. Number 7: total energy -20.75 eV per formula unit. Number 8: total energy -43.32 eV per formula unit. Number 9: total energy -48.80 eV per formula unit. Number 10: total energy -33.97 eV per formula unit. Number 11: total energy -26.17 eV per formula unit. Number 12: total energy -14.79 eV per formula unit.